First-principles (PBE with a Hubbard U) data for a relaxed structure of CoIN2O, as listed in the Alexandria database.

Cell: 4.081 4.081 3.940 Å, 90.00 90.00 90.00°
Site moments in Bohr magnetons follow the coordinates.
Positions (direct):
I 0.000 0.000 0.000  0.00
Co 0.500 0.500 0.500  2.68
N 0.000 0.500 0.000  0.04
N 0.500 0.000 0.000  0.04
O 0.000 0.000 0.500  0.01

## Properties
space-group type: P4/mmm, No. 123
E_tot: -4.040 eV/atom